Computed, not measured: a relaxed structure of AcTmAu2 at the PBE level of DFT.

a = 7.325 Å, b = 7.325 Å, c = 7.325 Å
α = 35.24°, β = 35.24°, γ = 35.24°
Atoms (fractional coordinates):
Ac 0.000 0.000 0.000
Tm 0.500 0.500 0.500
Au 0.236 0.236 0.236
Au 0.764 0.764 0.764

Properties
As for the excess energy over the best structure of this formula in the dataset: 89 meV/atom. Its formation energy is -0.745 eV/atom. The size of the total moment is 0.00 μB per formula unit.



Computed, not measured: a relaxed structure of AcTmAu at the PBE level of DFT.

a = 4.898 Å, b = 4.898 Å, c = 4.522 Å
α = 90.00°, β = 90.00°, γ = 120.00°
Atoms (fractional coordinates):
Ac 0.000 0.000 0.000
Tm 0.333 0.667 0.500
Au 0.667 0.333 0.500

Properties
As for the excess energy over the best structure of this formula in the dataset: 180 meV/atom. Its formation energy is -0.428 eV/atom. The size of the total moment is 0.00 μB per formula unit.



Computed, not measured: a relaxed structure of AcTm4Au5 at the PBE level of DFT.

a = 3.594 Å, b = 3.594 Å, c = 18.350 Å
α = 90.00°, β = 90.00°, γ = 90.00°
Atoms (fractional coordinates):
Ac 0.000 0.000 0.000
Tm 0.000 0.000 0.211
Tm 0.000 0.000 0.404
Tm 0.000 0.000 0.596
Tm 0.000 0.000 0.789
Au 0.500 0.500 0.123
Au 0.500 0.500 0.308
Au 0.500 0.500 0.500
Au 0.500 0.500 0.692
Au 0.500 0.500 0.877

Properties
Its formation energy is -0.854 eV/atom. The size of the total moment is 0.00 μB per formula unit.



Computed, not measured: a relaxed structure of Ac2Tm3Au4 at the PBE level of DFT.

a = 7.851 Å, b = 7.795 Å, c = 8.599 Å
α = 90.00°, β = 111.33°, γ = 90.00°
Atoms (fractional coordinates):
Ac 0.194 0.170 0.086
Ac 0.194 0.330 0.586
Ac 0.806 0.670 0.414
Ac 0.806 0.830 0.914
Tm 0.251 0.650 0.250
Tm 0.251 0.850 0.750
Tm 0.500 0.000 0.500
Tm 0.500 0.500 0.000
Tm 0.749 0.150 0.250
Tm 0.749 0.350 0.750
Au 0.100 0.554 0.878
Au 0.100 0.946 0.378
Au 0.483 0.639 0.621
Au 0.483 0.861 0.121
Au 0.517 0.139 0.879
Au 0.517 0.361 0.379
Au 0.900 0.054 0.622
Au 0.900 0.446 0.122

Properties
Its formation energy is -0.774 eV/atom. The size of the total moment is 0.00 μB per formula unit.



Computed, not measured: a relaxed structure of Ac2TmZnAu6 at the PBE level of DFT.

a = 5.886 Å, b = 6.281 Å, c = 7.564 Å
α = 96.26°, β = 106.50°, γ = 105.51°
Atoms (fractional coordinates):
Ac 0.008 0.192 0.277
Ac 0.992 0.808 0.723
Tm 0.500 0.500 0.000
Zn 0.500 0.000 0.500
Au 0.018 0.695 0.267
Au 0.390 0.597 0.622
Au 0.395 0.938 0.134
Au 0.605 0.062 0.866
Au 0.610 0.403 0.378
Au 0.982 0.305 0.733

Properties
Its formation energy is -0.603 eV/atom. The size of the total moment is 0.00 μB per formula unit.



Computed, not measured: a relaxed structure of AcVAu at the PBE level of DFT.

a = 10.645 Å, b = 3.753 Å, c = 3.753 Å
α = 90.03°, β = 90.00°, γ = 90.00°
Atoms (fractional coordinates):
Ac 0.192 0.000 0.000
Ac 0.808 0.000 0.000
V 0.410 0.499 0.499
V 0.590 0.499 0.499
Au 0.000 0.500 0.500
Au 0.500 0.999 0.999

Properties
Its formation energy is -0.039 eV/atom. The size of the total moment is 0.00 μB per formula unit.



Computed, not measured: a relaxed structure of AcY2Au at the PBE level of DFT.

a = 10.299 Å, b = 10.299 Å, c = 10.299 Å
α = 21.90°, β = 21.90°, γ = 21.90°
Atoms (fractional coordinates):
Ac 0.000 0.000 0.000
Y 0.229 0.229 0.229
Y 0.771 0.771 0.771
Au 0.500 0.500 0.500

Properties
As for the excess energy over the best structure of this formula in the dataset: 87 meV/atom. Its formation energy is -0.298 eV/atom. The size of the total moment is 0.00 μB per formula unit.



Computed, not measured: a relaxed structure of Ac2Y3Au2 at the PBE level of DFT.

a = 6.845 Å, b = 6.845 Å, c = 9.607 Å
α = 115.70°, β = 115.70°, γ = 32.99°
Atoms (fractional coordinates):
Ac 0.154 0.154 0.309
Ac 0.846 0.846 0.691
Y 0.382 0.382 0.055
Y 0.500 0.500 0.500
Y 0.618 0.618 0.945
Au 0.159 0.159 0.738
Au 0.841 0.841 0.262

Properties
Its formation energy is -0.486 eV/atom. The size of the total moment is 0.00 μB per formula unit.